1.
A relaxed RbNaPm2Br8 crystal, computed with GGA-PBE.

The structure in CIF format:
```
data_RbNaPm2Br8
_chemical_formula_sum 'Rb1 Na1 Pm2 Br8'
_cell_length_a 7.478
_cell_length_b 7.161
_cell_length_c 8.961
_cell_angle_alpha 90.00
_cell_angle_beta 90.01
_cell_angle_gamma 85.02
_symmetry_space_group_name_H-M 'P 1'
_symmetry_Int_Tables_number 1
_symmetry_space_group_name_Hall 'P 1'
loop_
_atom_site_label
_atom_site_fract_x
_atom_site_fract_y
_atom_site_fract_z
Rb1 0.000 0.000 0.500
Na1 0.000 0.000 0.000
Pm1 0.500 0.500 0.756
Pm2 0.500 0.500 0.244
Br1 0.182 0.742 0.224
Br2 0.643 0.718 0.000
Br3 0.818 0.258 0.224
Br4 0.818 0.258 0.776
Br5 0.357 0.282 0.000
Br6 0.182 0.742 0.776
Br7 0.633 0.710 0.500
Br8 0.367 0.290 0.500
```

Properties
* formation energy from raw total energies: -1778 meV/atom

---

2.
A relaxed La2YTmS4 crystal, computed with GGA-PBE.

The structure in CIF format:
```
data_La2YTmS4
_chemical_formula_sum 'La2 Y1 Tm1 S4'
_cell_length_a 3.952
_cell_length_b 6.890
_cell_length_c 7.105
_cell_angle_alpha 108.68
_cell_angle_beta 90.00
_cell_angle_gamma 90.00
_symmetry_space_group_name_H-M 'P 1'
_symmetry_Int_Tables_number 1
_symmetry_space_group_name_Hall 'P 1'
loop_
_atom_site_label
_atom_site_fract_x
_atom_site_fract_y
_atom_site_fract_z
La1 0.500 0.000 0.500
La2 0.000 0.500 0.500
Y1 0.500 0.500 0.000
Tm1 0.000 0.000 0.000
S1 0.500 0.238 0.225
S2 0.500 0.762 0.775
S3 0.000 0.254 0.772
S4 0.000 0.746 0.228
```

Properties
* formation energy from raw total energies: -2073 meV/atom

---

3.
A relaxed LiMgSbCl6 crystal, computed with GGA-PBE.

The structure in CIF format:
```
data_LiMgSbCl6
_chemical_formula_sum 'Li2 Mg2 Sb2 Cl12'
_cell_length_a 6.466
_cell_length_b 6.466
_cell_length_c 11.781
_cell_angle_alpha 90.00
_cell_angle_beta 90.00
_cell_angle_gamma 120.00
_symmetry_space_group_name_H-M 'P 1'
_symmetry_Int_Tables_number 1
_symmetry_space_group_name_Hall 'P 1'
loop_
_atom_site_label
_atom_site_fract_x
_atom_site_fract_y
_atom_site_fract_z
Li1 0.667 0.333 0.250
Li2 0.333 0.667 0.750
Mg1 0.333 0.667 0.250
Mg2 0.667 0.333 0.750
Sb1 0.000 0.000 0.000
Sb2 0.000 0.000 0.500
Cl1 0.653 0.658 0.129
Cl2 0.006 0.347 0.129
Cl3 0.347 0.006 0.629
Cl4 0.994 0.653 0.871
Cl5 0.342 0.347 0.371
Cl6 0.006 0.658 0.371
Cl7 0.658 0.006 0.871
Cl8 0.653 0.994 0.371
Cl9 0.994 0.342 0.629
Cl10 0.342 0.994 0.129
Cl11 0.658 0.653 0.629
Cl12 0.347 0.342 0.871
```

Properties
* formation energy from raw total energies: -1351 meV/atom